1.
Material: LaAl3AgHg
Method: DFT, PBE
State: relaxed

Summary:
The calculation puts the energy of formation at -0.1411 eV per atom.

```
LaAl3AgHg
1.0
6.125 0.000 0.000
0.000 5.794 0.000
0.000 -2.897 7.566
La Al Ag Hg
2 6 2 2
Cartesian
1.531 2.897 2.796
4.594 0.000 4.770
3.062 4.186 0.000
0.000 1.608 0.000
4.594 2.897 5.929
1.531 0.000 1.636
0.000 4.186 0.000
3.062 1.608 0.000
1.531 2.897 5.976
4.594 0.000 1.590
4.594 2.897 2.507
1.531 0.000 5.059
```

2.
Material: LiAlAgHg
Method: DFT, PBE
State: relaxed

Summary:
The calculation puts the energy of formation at -0.1894 eV per atom.

```
LiAlAgHg
1.0
-3.213 0.511 3.268
-0.814 -3.417 2.987
1.253 0.449 4.414
Al Hg Li Ag
1 1 1 1
Cartesian
0.000 0.000 0.000
-2.080 -1.842 8.002
-1.387 -1.228 5.334
-0.693 -0.614 2.667
```

3.
Material: Li5AlAg2Hg2
Method: DFT, PBE
State: relaxed

Summary:
The calculation puts the energy of formation at -0.1108 eV per atom.

```
Li5AlAg2Hg2
1.0
3.817 0.000 0.000
0.000 9.826 0.000
0.000 0.000 9.826
Li Hg Ag Al
10 4 4 2
Cartesian
1.909 0.000 4.913
1.909 8.189 1.212
1.909 3.276 3.701
1.909 3.701 6.551
1.909 6.551 6.125
1.909 6.125 3.276
1.909 4.913 0.000
1.909 1.637 8.614
1.909 8.614 8.189
1.909 1.212 1.637
0.000 1.553 6.466
0.000 3.360 1.553
0.000 8.273 3.360
0.000 6.466 8.273
0.000 6.258 1.345
0.000 3.568 8.481
0.000 8.481 6.258
0.000 1.345 3.568
0.000 0.000 0.000
0.000 4.913 4.913
```

4.
Material: NaAlAg2Hg
Method: DFT, PBE
State: relaxed

Summary:
The calculation puts the energy of formation at 0.3364 eV per atom.

```
NaAlAg2Hg
1.0
-3.772 -3.207 -0.355
3.672 -4.151 -1.519
0.592 -1.224 4.774
Hg Al Ag Na
1 1 2 1
Cartesian
0.246 -4.291 1.450
0.000 0.000 0.000
-1.886 -1.603 -0.177
0.296 -0.612 2.387
1.836 -2.076 -0.760
```

5.
Material: NaAlAgHg
Method: DFT, PBE
State: relaxed

Summary:
The calculation puts the energy of formation at -0.0246 eV per atom.

```
NaAlAgHg
1.0
-1.958 -0.001 4.419
-4.586 -1.397 0.611
-0.978 -4.186 2.209
Hg Ag Na Al
1 1 1 1
Cartesian
-5.642 -4.188 5.429
-1.881 -1.396 1.810
-3.761 -2.792 3.619
0.000 0.000 0.000
```

6.
Material: Nd2Al4AgHg3
Method: DFT, PBE
State: relaxed

Summary:
The calculation puts the energy of formation at -0.3393 eV per atom.

```
Nd2Al4AgHg3
1.0
4.427 0.000 0.000
0.000 4.427 0.000
0.000 0.000 11.216
Nd Al Hg Ag
2 4 3 1
Cartesian
0.000 2.213 8.364
2.213 0.000 2.851
0.000 0.000 0.000
2.213 2.213 0.000
2.213 0.000 7.082
0.000 2.213 4.133
0.000 2.213 1.562
0.000 0.000 5.608
2.213 0.000 9.654
2.213 2.213 5.608
```

7.
Material: Nd2Al4Ag3Hg
Method: DFT, PBE
State: relaxed

Summary:
The calculation puts the energy of formation at -0.3489 eV per atom.

```
Nd2Al4Ag3Hg
1.0
-2.740 2.982 -1.804
-3.481 -2.228 1.605
0.424 5.883 9.081
Al Nd Ag Hg
4 2 3 1
Cartesian
-1.588 0.998 4.062
0.000 0.000 0.000
-3.111 0.377 -0.099
-1.098 5.262 4.920
-1.421 3.315 7.640
-1.265 2.944 1.342
0.212 2.941 4.540
-1.686 -0.364 1.960
-1.000 6.624 7.022
-2.899 3.318 4.441
```

8.
Material: NdAl3AgHg
Method: DFT, PBE
State: relaxed

Summary:
The calculation puts the energy of formation at 0.0094 eV per atom.

```
NdAl3AgHg
1.0
-2.493 -4.250 3.354
-0.040 -3.645 -4.648
7.732 -1.004 4.475
Al Nd Ag Hg
6 2 2 2
Cartesian
-1.257 -3.085 0.453
3.059 -2.412 1.865
2.140 -6.487 1.316
-0.029 -2.685 -3.424
-0.010 -0.960 -1.224
-1.276 -4.810 -1.747
3.164 -5.032 3.919
2.036 -3.867 -0.738
0.746 -1.564 1.220
4.453 -7.335 1.961
5.388 -3.265 2.515
-0.189 -5.633 0.666
```

9.
Material: Nd2Al3Ag4Hg
Method: DFT, PBE
State: relaxed

Summary:
The calculation puts the energy of formation at -0.2750 eV per atom.

```
Nd2Al3Ag4Hg
1.0
4.344 0.000 0.000
0.000 4.344 0.000
0.000 0.000 11.539
Ag Al Nd Hg
4 3 2 1
Cartesian
0.000 2.172 4.006
0.000 0.000 0.000
2.172 2.172 0.000
2.172 0.000 7.533
0.000 2.172 1.469
0.000 0.000 5.770
2.172 0.000 10.070
2.172 0.000 2.782
0.000 2.172 8.757
2.172 2.172 5.770
```

10.
Material: Nd4AlAgHg2
Method: DFT, PBE
State: relaxed

Summary:
The calculation puts the energy of formation at -0.3704 eV per atom.

```
Nd4AlAgHg2
1.0
-3.997 3.570 -0.061
-2.465 1.342 4.566
3.639 8.143 2.717
Hg Nd Al Ag
2 4 1 1
Cartesian
-0.721 3.247 1.802
-2.102 9.808 5.420
1.477 5.715 2.263
-3.588 4.083 3.154
-4.299 7.341 4.958
0.766 8.972 4.068
0.000 0.000 0.000
-1.411 6.528 3.611
```

11.
Material: PaAlAgHg
Method: DFT, PBE
State: relaxed

Summary:
The calculation puts the energy of formation at 0.0677 eV per atom.

```
PaAlAgHg
1.0
4.969 0.000 0.000
2.485 4.304 0.000
2.485 1.435 4.057
Ag Hg Pa Al
1 1 1 1
Cartesian
2.485 1.435 1.014
7.454 4.304 3.043
0.000 0.000 0.000
4.969 2.869 2.029
```

12.
Material: Pm2Al4Ag3Hg
Method: DFT, PBE
State: relaxed

Summary:
The calculation puts the energy of formation at -0.3437 eV per atom.

```
Pm2Al4Ag3Hg
1.0
-3.689 0.261 2.406
-2.216 -2.126 -3.167
2.387 -9.472 4.688
Ag Al Hg Pm
3 4 1 2
Cartesian
0.237 -8.128 5.291
-0.802 -2.277 -0.983
1.194 -4.736 2.344
-0.313 -5.945 4.210
-2.953 -0.933 -0.381
0.000 0.000 0.000
-0.252 -4.459 0.097
-1.759 -5.668 1.963
-1.255 -2.207 2.360
0.690 -8.198 1.948
```

> Which value of energy of formation does entry 10 give?

-0.3704 eV per atom

> The highest energy of formation belongs to which entry?

NaAlAg2Hg